# 1
{
  "formula": "AcSm2Ho3",
  "functional": "PBE",
  "state": "optimized geometry",
  "e_above_lowest_polymorph_mev_per_atom": 168.2,
  "crystal_system": "orthorhombic",
  "lattice_angstrom": [[-3.367, -2.459, 4.241], [2.264, -7.799, -2.724], [7.038, -1.831, 4.526]],
  "species": ["Ho", "Ho", "Ho", "Ho", "Ho", "Ho", "Ac", "Ac", "Sm", "Sm", "Sm", "Sm"],
  "frac_coords": [[0.992, 0.394, 0.730], [0.492, 0.270, 0.606], [0.992, 0.730, 0.394], [0.492, 0.606, 0.270], [0.495, 0.934, 0.934], [0.995, 0.066, 0.066], [0.994, 0.796, 0.796], [0.494, 0.204, 0.204], [0.993, 0.464, 0.133], [0.493, 0.536, 0.867], [0.493, 0.867, 0.536], [0.993, 0.133, 0.464]]
}

# 2
{
  "formula": "TbDyCu4",
  "functional": "PBE",
  "state": "optimized geometry",
  "e_above_lowest_polymorph_mev_per_atom": 0.0,
  "crystal_system": "orthorhombic",
  "lattice_angstrom": [[3.943, 0.000, 1.690], [1.840, 5.009, 1.152], [-0.006, 0.013, 5.459]],
  "species": ["Cu", "Cu", "Cu", "Cu", "Dy", "Tb"],
  "frac_coords": [[0.835, 0.467, 0.862], [0.835, 0.862, 0.467], [0.165, 0.637, 0.034], [0.165, 0.034, 0.637], [0.543, 0.457, 0.457], [0.456, 0.044, 0.044]]
}

# 3
{
  "formula": "MgTc2Mo",
  "functional": "PBE",
  "state": "optimized geometry",
  "energy_ev_per_fu": -32.29,
  "crystal_system": "monoclinic",
  "lattice_angstrom": [[-3.168, -0.038, -4.201], [-0.209, -4.033, 3.293], [-2.280, 0.509, 1.320]],
  "species": ["Mo", "Tc", "Tc", "Mg"],
  "frac_coords": [[0.500, 0.500, 0.000], [0.500, 0.000, 0.500], [0.000, 0.000, 0.000], [0.000, 0.500, 0.500]]
}

# 4
{
  "formula": "KSnP3",
  "functional": "PBE",
  "state": "optimized geometry",
  "e_above_lowest_polymorph_mev_per_atom": 1048.3,
  "crystal_system": "cubic",
  "lattice_angstrom": [[-2.113, 2.021, -4.318], [-3.994, -3.330, 0.395], [-2.604, 3.467, 2.898]],
  "species": ["Sn", "P", "P", "P", "K"],
  "frac_coords": [[0.500, 0.500, 0.500], [0.000, 0.000, 0.500], [0.500, 0.000, 0.000], [0.000, 0.500, 0.000], [0.000, 0.000, 0.000]]
}

# 5
{
  "formula": "BaAl3O",
  "functional": "PBE",
  "state": "optimized geometry",
  "raw_formation_energy_kj_per_mol_atoms": 175.5,
  "e_above_lowest_polymorph_mev_per_atom": 1967.3,
  "crystal_system": "cubic",
  "lattice_angstrom": [[6.228, 0.000, 0.000], [0.000, 6.228, 0.000], [0.000, 0.000, 6.228]],
  "species": ["Ba", "Al", "Al", "Al", "O"],
  "frac_coords": [[0.000, 0.000, 0.000], [0.500, 0.000, 0.000], [0.000, 0.000, 0.500], [0.000, 0.500, 0.000], [0.500, 0.500, 0.500]]
}

# 6
{
  "formula": "LiSnP2O7",
  "functional": "PBE",
  "state": "optimized geometry",
  "raw_formation_energy_kj_per_mol_atoms": -197.7,
  "e_above_lowest_polymorph_mev_per_atom": 16.4,
  "crystal_system": "monoclinic",
  "lattice_angstrom": [[-0.097, 1.199, 5.036], [-6.920, -5.869, 1.264], [10.724, -7.324, 1.951]],
  "species": ["P", "P", "P", "P", "P", "P", "P", "P", "O", "O", "O", "O", "O", "O", "O", "O", "O", "O", "O", "O", "O", "O", "O", "O", "O", "O", "O", "O", "O", "O", "O", "O", "O", "O", "O", "O", "Li", "Li", "Li", "Li", "Sn", "Sn", "Sn", "Sn"],
  "frac_coords": [[0.020, 0.972, 0.138], [0.549, 0.012, 0.864], [0.387, 0.992, 0.642], [0.451, 0.512, 0.364], [0.980, 0.472, 0.638], [0.613, 0.492, 0.142], [0.015, 0.047, 0.379], [0.985, 0.547, 0.879], [0.185, 0.461, 0.328], [0.222, 0.845, 0.116], [0.879, 0.623, 0.627], [0.156, 0.914, 0.405], [0.641, 0.921, 0.602], [0.121, 0.123, 0.127], [0.778, 0.345, 0.616], [0.815, 0.961, 0.828], [0.806, 0.684, 0.896], [0.194, 0.184, 0.396], [0.232, 0.432, 0.576], [0.379, 0.048, 0.769], [0.838, 0.382, 0.117], [0.162, 0.882, 0.617], [0.928, 0.994, 0.259], [0.255, 0.579, 0.934], [0.621, 0.548, 0.269], [0.558, 0.167, 0.944], [0.359, 0.421, 0.102], [0.613, 0.396, 0.408], [0.442, 0.667, 0.444], [0.768, 0.932, 0.076], [0.072, 0.494, 0.759], [0.335, 0.138, 0.604], [0.387, 0.896, 0.908], [0.665, 0.638, 0.104], [0.844, 0.414, 0.905], [0.745, 0.079, 0.434], [0.526, 0.882, 0.442], [0.127, 0.337, 0.196], [0.474, 0.382, 0.942], [0.873, 0.837, 0.696], [0.013, 0.712, 0.475], [0.510, 0.764, 0.007], [0.987, 0.212, 0.975], [0.490, 0.264, 0.507]]
}

# 7
{
  "formula": "Pm7PdPb2",
  "functional": "PBE",
  "state": "optimized geometry",
  "energy_ev_per_fu": -44.62,
  "crystal_system": "cubic",
  "lattice_angstrom": [[7.870, 0.000, 0.000], [3.935, 6.816, 0.000], [3.935, 2.272, 6.426]],
  "species": ["Pb", "Pb", "Pm", "Pm", "Pm", "Pm", "Pm", "Pm", "Pm", "Pd"],
  "frac_coords": [[0.750, 0.750, 0.750], [0.250, 0.250, 0.250], [0.245, 0.755, 0.245], [0.245, 0.245, 0.755], [0.755, 0.755, 0.245], [0.755, 0.245, 0.755], [0.755, 0.245, 0.245], [0.245, 0.755, 0.755], [0.500, 0.500, 0.500], [0.000, 0.000, 0.000]]
}

# 8
{
  "formula": "Ac2Ni3Sn",
  "functional": "PBE",
  "state": "optimized geometry",
  "e_above_lowest_polymorph_mev_per_atom": 0.0,
  "crystal_system": "hexagonal",
  "lattice_angstrom": [[-0.517, -0.219, 4.301], [-3.415, -0.521, -2.624], [3.028, -17.248, -0.515]],
  "species": ["Ac", "Ac", "Ac", "Ac", "Ni", "Ni", "Ni", "Ni", "Ni", "Ni", "Sn", "Sn"],
  "frac_coords": [[0.000, 0.000, 0.613], [0.000, 0.000, 0.387], [0.000, 0.000, 0.113], [0.000, 0.000, 0.887], [0.667, 0.333, 0.501], [0.333, 0.667, 0.499], [0.333, 0.667, 0.750], [0.667, 0.333, 0.999], [0.333, 0.667, 0.001], [0.667, 0.333, 0.250], [0.333, 0.667, 0.250], [0.667, 0.333, 0.750]]
}

# 9
{
  "formula": "CsMg14V",
  "functional": "PBE",
  "state": "optimized geometry",
  "e_above_lowest_polymorph_mev_per_atom": 6.3,
  "crystal_system": "orthorhombic",
  "lattice_angstrom": [[3.222, -5.617, 0.000], [3.222, 5.617, 0.000], [0.000, 0.000, 10.900]],
  "species": ["Mg", "Mg", "Mg", "Mg", "Mg", "Mg", "Mg", "Mg", "Mg", "Mg", "Mg", "Mg", "Mg", "Mg", "V", "Cs"],
  "frac_coords": [[0.322, 0.196, 0.500], [0.166, 0.319, 0.757], [0.675, 0.325, 0.733], [0.804, 0.678, 0.500], [0.681, 0.834, 0.243], [0.347, 0.170, 0.000], [0.840, 0.160, 0.000], [0.166, 0.834, 0.222], [0.341, 0.659, 0.000], [0.166, 0.319, 0.243], [0.166, 0.834, 0.778], [0.675, 0.325, 0.267], [0.830, 0.653, 0.000], [0.681, 0.834, 0.757], [0.840, 0.160, 0.500], [0.302, 0.698, 0.500]]
}

# 10
{
  "formula": "Co2As",
  "functional": "PBE",
  "state": "optimized geometry",
  "energy_ev_per_fu": -18.75,
  "crystal_system": "monoclinic",
  "lattice_angstrom": [[1.449, 4.335, 0.009], [-1.449, 4.335, 0.009], [0.000, 2.446, 5.872]],
  "species": ["As", "As", "Co", "Co", "Co", "Co"],
  "frac_coords": [[0.035, 0.035, 0.222], [0.965, 0.965, 0.778], [0.651, 0.651, 0.473], [0.332, 0.332, 0.132], [0.349, 0.349, 0.527], [0.668, 0.668, 0.868]]
}

# 11
{
  "formula": "Mn2Se",
  "functional": "PBE",
  "state": "optimized geometry",
  "raw_formation_energy_kj_per_mol_atoms": -14.7,
  "crystal_system": "monoclinic",
  "lattice_angstrom": [[1.748, 7.142, 0.997], [-1.748, 7.142, 0.997], [0.000, 4.966, 4.662]],
  "species": ["Se", "Se", "Mn", "Mn", "Mn", "Mn"],
  "frac_coords": [[0.824, 0.824, 0.158], [0.176, 0.176, 0.842], [0.633, 0.633, 0.172], [0.094, 0.094, 0.511], [0.367, 0.367, 0.828], [0.906, 0.906, 0.489]]
}

# 12
{
  "formula": "KTe3AsPb",
  "functional": "PBE",
  "state": "optimized geometry",
  "raw_formation_energy_kj_per_mol_atoms": -36.2,
  "crystal_system": "monoclinic",
  "lattice_angstrom": [[-3.450, -2.814, 2.534], [4.359, -7.466, -2.354], [3.995, 3.169, 8.959]],
  "species": ["Te", "Te", "Te", "Te", "Te", "Te", "Pb", "Pb", "As", "As", "K", "K"],
  "frac_coords": [[0.250, 0.053, 0.869], [0.750, 0.512, 0.204], [0.750, 0.947, 0.131], [0.250, 0.488, 0.796], [0.250, 0.815, 0.467], [0.750, 0.185, 0.533], [0.250, 0.681, 0.102], [0.750, 0.319, 0.898], [0.750, 0.881, 0.368], [0.250, 0.119, 0.632], [0.750, 0.751, 0.743], [0.250, 0.249, 0.257]]
}